## SrAc5Pm4 (GGA-PBE)

Data for a relaxed structure of SrAc5Pm4.

Size of the total moment, μB/f.u.: 0.00
Crystal system: tetragonal
Calculated total energy, eV per atom: -4.08

Geometry as CIF:
```
data_SrAc5Pm4
_space_group_name_H-M_alt 'P 4/m m m'
_space_group_IT_number 123
_space_group_name_Hall '-P 4 2'
_cell_length_a 3.905
_cell_length_b 3.905
_cell_length_c 26.993
_cell_angle_alpha 90.00
_cell_angle_beta 90.00
_cell_angle_gamma 90.00
loop_
_atom_site_label
_atom_site_type_symbol
_atom_site_fract_x
_atom_site_fract_y
_atom_site_fract_z
Sr1 Sr 0.000 0.000 0.000
Ac1 Ac 0.500 0.500 0.115
Ac2 Ac 0.500 0.500 0.307
Ac3 Ac 0.500 0.500 0.500
Pm1 Pm 0.000 0.000 0.209
Pm2 Pm 0.000 0.000 0.403
```


## SrAc8Pm2 (GGA-PBE)

Data for a relaxed structure of SrAc8Pm2.

Size of the total moment, μB/f.u.: 0.00
Crystal system: orthorhombic
Calculated total energy, eV per atom: -3.87

Geometry as CIF:
```
data_SrAc8Pm2
_space_group_name_H-M_alt 'I m m m'
_space_group_IT_number 71
_space_group_name_Hall '-I 2 2'
_cell_length_a 5.892
_cell_length_b 9.966
_cell_length_c 16.778
_cell_angle_alpha 90.00
_cell_angle_beta 90.00
_cell_angle_gamma 90.00
loop_
_atom_site_label
_atom_site_type_symbol
_atom_site_fract_x
_atom_site_fract_y
_atom_site_fract_z
Sr1 Sr 0.000 0.000 0.000
Ac1 Ac 0.000 0.186 0.500
Ac2 Ac 0.000 0.290 0.162
Ac3 Ac 0.000 0.500 0.350
Pm1 Pm 0.000 0.000 0.295
```


## Sr2Ac5Pm (GGA-PBE)

Data for a relaxed structure of Sr2Ac5Pm.

Size of the total moment, μB/f.u.: 0.00
Crystal system: tetragonal
Calculated total energy, eV per atom: -3.53

Geometry as CIF:
```
data_Sr2Ac5Pm
_space_group_name_H-M_alt 'I 4/m m m'
_space_group_IT_number 139
_space_group_name_Hall '-I 4 2'
_cell_length_a 5.629
_cell_length_b 5.629
_cell_length_c 22.913
_cell_angle_alpha 90.00
_cell_angle_beta 90.00
_cell_angle_gamma 90.00
loop_
_atom_site_label
_atom_site_type_symbol
_atom_site_fract_x
_atom_site_fract_y
_atom_site_fract_z
Sr1 Sr 0.000 0.000 0.250
Ac1 Ac 0.000 0.000 0.000
Ac2 Ac 0.000 0.500 0.116
Pm1 Pm 0.000 0.000 0.500
```


## SrAc2Pm (GGA-PBE)

Data for a relaxed structure of SrAc2Pm.

Size of the total moment, μB/f.u.: 0.00
Crystal system: tetragonal
Calculated total energy, eV per atom: -3.55

Geometry as CIF:
```
data_SrAc2Pm
_space_group_name_H-M_alt 'P 4/m m m'
_space_group_IT_number 123
_space_group_name_Hall '-P 4 2'
_cell_length_a 5.642
_cell_length_b 5.642
_cell_length_c 5.429
_cell_angle_alpha 90.00
_cell_angle_beta 90.00
_cell_angle_gamma 90.00
loop_
_atom_site_label
_atom_site_type_symbol
_atom_site_fract_x
_atom_site_fract_y
_atom_site_fract_z
Sr1 Sr 0.000 0.000 0.000
Ac1 Ac 0.000 0.500 0.500
Pm1 Pm 0.500 0.500 0.000
```


## SrAcPm (GGA-PBE)

Data for a relaxed structure of SrAcPm.

Size of the total moment, μB/f.u.: 0.00
Crystal system: trigonal
Calculated total energy, eV per atom: -3.43

Geometry as CIF:
```
data_SrAcPm
_space_group_name_H-M_alt 'P 3 m 1'
_space_group_IT_number 156
_cell_length_a 3.9381
_cell_length_b 3.9381
_cell_length_c 9.6963
_cell_angle_alpha 90.00
_cell_angle_beta 90.00
_cell_angle_gamma 120.00
loop_
_space_group_symop_operation_xyz
'x,y,z'
'-y,x-y,z'
'-x+y,-x,z'
'-y,-x,z'
'-x+y,y,z'
'x,x-y,z'
loop_
_atom_site_label
_atom_site_type_symbol
_atom_site_fract_x
_atom_site_fract_y
_atom_site_fract_z
Sr1 Sr 0.0000 0.0000 0.0000
Ac1 Ac 0.3333 0.6667 0.6382
Pm1 Pm 0.6667 0.3333 0.3357
```


## Sr2AcPm (GGA-PBE)

Data for a relaxed structure of Sr2AcPm.

Size of the total moment, μB/f.u.: 0.00
Crystal system: tetragonal
Calculated total energy, eV per atom: -2.89

Geometry as CIF:
```
data_Sr2AcPm
_space_group_name_H-M_alt 'P 4/m m m'
_space_group_IT_number 123
_space_group_name_Hall '-P 4 2'
_cell_length_a 5.456
_cell_length_b 5.456
_cell_length_c 6.013
_cell_angle_alpha 90.00
_cell_angle_beta 90.00
_cell_angle_gamma 90.00
loop_
_atom_site_label
_atom_site_type_symbol
_atom_site_fract_x
_atom_site_fract_y
_atom_site_fract_z
Sr1 Sr 0.000 0.500 0.000
Ac1 Ac 0.000 0.000 0.500
Pm1 Pm 0.500 0.500 0.500
```


## SrAcTbPm (GGA-PBE)

Data for a relaxed structure of SrAcTbPm.

Size of the total moment, μB/f.u.: 0.00
Crystal system: cubic
Calculated total energy, eV per atom: -3.60

Geometry as CIF:
```
data_SrAcTbPm
_space_group_name_H-M_alt 'F -4 3 m'
_space_group_IT_number 216
_space_group_name_Hall 'F -4 2 3'
_cell_length_a 8.618
_cell_length_b 8.618
_cell_length_c 8.618
_cell_angle_alpha 90.00
_cell_angle_beta 90.00
_cell_angle_gamma 90.00
loop_
_atom_site_label
_atom_site_type_symbol
_atom_site_fract_x
_atom_site_fract_y
_atom_site_fract_z
Sr1 Sr 0.000 0.000 0.000
Ac1 Ac 0.250 0.250 0.250
Tb1 Tb 0.000 0.000 0.500
Pm1 Pm 0.250 0.250 0.750
```


## Sr2Ac3PmTe6 (GGA-PBE)

Data for a relaxed structure of Sr2Ac3PmTe6.

Size of the total moment, μB/f.u.: 0.00
Crystal system: monoclinic
ΔE_f (raw), eV per atom: -1.54
Calculated total energy, eV per atom: -4.81

Geometry as CIF:
```
data_Sr2Ac3PmTe6
_space_group_name_H-M_alt 'C 1 2/m 1'
_space_group_IT_number 12
_cell_length_a 8.076
_cell_length_b 14.002
_cell_length_c 8.165
_cell_angle_alpha 90.00
_cell_angle_beta 109.33
_cell_angle_gamma 90.00
loop_
_space_group_symop_operation_xyz
'x,y,z'
'-x,-y,-z'
'-x,y,-z'
'x,-y,z'
'x+1/2,y+1/2,z'
'-x+1/2,-y+1/2,-z'
'-x+1/2,y+1/2,-z'
'x+1/2,-y+1/2,z'
loop_
_atom_site_label
_atom_site_type_symbol
_atom_site_fract_x
_atom_site_fract_y
_atom_site_fract_z
Sr1 Sr 0.000 0.166 0.000
Ac1 Ac 0.000 0.000 0.500
Ac2 Ac 0.000 0.328 0.500
Pm1 Pm 0.000 0.500 0.000
Te1 Te 0.242 0.337 0.238
Te2 Te 0.244 0.500 0.754
```